i | A relaxed ZnCoMoAu crystal, computed with PBE.

Cell lengths 4.312, 4.312, 4.312 Å; angles 60.00, 60.00, 60.00 degrees
Positions (direct):
1 Au 0.750 0.750 0.750
2 Co 0.000 0.000 0.000
3 Mo 0.250 0.250 0.250
4 Zn 0.500 0.500 0.500

Calculated density   12.22 g/cm3

---

ii | A relaxed ZnCoMoAu crystal, computed with PBE.

Cell lengths 4.354, 4.354, 4.354 Å; angles 60.00, 60.00, 60.00 degrees
Positions (direct):
1 Au 0.750 0.750 0.750
2 Co 0.500 0.500 0.500
3 Mo 0.000 0.000 0.000
4 Zn 0.250 0.250 0.250

Calculated density   11.88 g/cm3

---

Most stable to least stable, the ends of the list are i and ii.